VOF2 after structural relaxation. Source: Alexandria via LeMat-Bulk, functional PBE with a Hubbard U.

Computed properties:
V = 37.5 Å³/cell
calculated density = 4.6 g cm⁻³
energy = -20.4 eV for the cell shown
magnetic moment = 1.0 μB per formula unit
SG = Fm-3m, No. 225

Cell: 3.7575 3.7575 3.7575 Å, 60.00 60.00 60.00°
With the nearest neighbours (Å) after each atom.
Fractional positions:
V 0.5000 0.5000 0.5000  8 F 2.30
O 0.0000 0.0000 0.0000  8 F 2.30
F 0.2500 0.2500 0.2500  4 V 2.30, 4 O 2.30
F 0.7500 0.7500 0.7500  4 V 2.30, 4 O 2.30